*i*
The following is a PBE calculation of a relaxed structure of TbPuSb2, from the Alexandria database.

```
TbPuSb2
1.0
-4.951 -2.335 -2.988
-2.981 -0.641 5.440
-6.319 4.261 0.620
Tb Pu Sb
2 2 4
direct
0.625 0.875 0.750
0.375 0.125 0.250
0.125 0.375 0.750
0.875 0.625 0.250
0.124 0.874 0.752
0.876 0.126 0.248
0.626 0.376 0.748
0.374 0.624 0.252
```

spin magnetization = 1.261 μB per atom



*ii*
The following is a PBE calculation of a relaxed structure of TbPuSb2, from the Alexandria database.

```
TbPuSb2
1.0
3.306 0.000 0.000
0.000 5.705 0.000
0.000 0.000 5.705
Sb Tb Pu
2 1 1
direct
0.000 0.000 0.500
0.000 0.500 0.000
0.500 0.000 0.000
0.500 0.500 0.500
```

spin magnetization = 1.447 μB per atom



*iii*
The following is a PBE calculation of a relaxed structure of TbPuSb2, from the Alexandria database.

```
TbPuSb2
1.0
4.405 0.000 0.000
2.202 3.815 0.000
2.202 1.272 7.391
Tb Pu Sb
1 1 2
direct
0.498 0.498 0.506
0.669 0.669 0.993
0.082 0.082 0.755
0.251 0.251 0.246
```

spin magnetization = 1.262 μB per atom



Which one sits at the top of the stability order? *i* does.



*i*
The following is a PBE calculation of a relaxed structure of Tb2PuSb, from the Alexandria database.

```
Tb2PuSb
1.0
3.565 0.000 0.000
1.782 3.087 0.000
1.782 1.029 10.629
Sb Tb Pu
1 2 1
direct
0.000 0.000 0.000
0.255 0.255 0.236
0.745 0.745 0.764
0.500 0.500 0.500
```

spin magnetization = 1.543 μB per atom



*ii*
The following is a PBE calculation of a relaxed structure of Tb2PuSb, from the Alexandria database.

```
Tb2PuSb
1.0
-1.370 -4.335 -0.510
2.116 -1.165 4.224
-4.133 1.029 2.354
Sb Tb Pu
1 2 1
direct
0.500 0.000 0.000
0.000 0.000 0.500
0.000 0.500 0.000
0.500 0.500 0.500
```

spin magnetization = 1.631 μB per atom



Which one sits at the top of the stability order? *ii* does.